DFT (PBE) results for a relaxed structure of Ba4Li3Au.

Geometry as extended XYZ:
```
8
Lattice="4.945 0.000 0.000 0.000 4.978 0.000 0.000 0.000 13.228" Properties=species:S:1:pos:R:3 pbc="T T T"
Ba 0.000 0.000 0.000
Ba 0.000 2.489 3.483
Ba 2.473 0.000 6.155
Ba 2.473 2.489 10.270
Li 0.000 0.000 9.069
Li 0.000 2.489 7.416
Li 2.473 2.489 1.085
Au 2.473 0.000 2.453
```

Size of the total moment (μB per cell): 0.00
N(E_F) (states/eV/f.u.): 7.346
Final energy (eV per atom): -2.25
SG: Pmm2 (25)



DFT (PBE) results for a relaxed structure of Ca3Tl3Pb2.

Geometry as extended XYZ:
```
8
Lattice="5.542 0.000 0.000 0.000 5.706 0.000 0.000 0.000 7.644" Properties=species:S:1:pos:R:3 pbc="T T T"
Ca 0.000 0.000 0.000
Ca 0.000 0.000 3.822
Ca 2.771 2.853 0.000
Tl 0.000 2.853 1.964
Tl 0.000 2.853 5.680
Tl 2.771 2.853 3.822
Pb 2.771 0.000 1.903
Pb 2.771 0.000 5.740
```

Size of the total moment (μB per cell): 0.00
N(E_F) (states/eV/f.u.): 3.756
Final energy (eV per atom): -2.92
Offset from the most stable computed form (meV/atom): 0
SG: Pmmm (47)



DFT (PBE) results for a relaxed structure of GePtF2.

Geometry as extended XYZ:
```
8
Lattice="-1.854 1.854 7.938 1.854 -1.854 7.938 1.854 1.854 -7.938" Properties=species:S:1:pos:R:3 pbc="T T T"
Ge 0.000 0.000 0.000
Ge 0.000 1.854 3.969
Pt 1.854 0.000 3.969
Pt 0.000 0.000 7.938
F 2.781 0.923 -1.985
F 0.923 0.927 1.985
F -0.927 0.931 5.954
F 0.931 0.927 9.923
```

Energy relative to the elements, uncorrected (eV per atom): -0.844
Size of the total moment (μB per cell): 0.00
N(E_F) (states/eV/f.u.): 0.366
Final energy (eV per atom): -4.44
Offset from the most stable computed form (meV/atom): 53
SG: I-42d (122)



DFT (PBE) results for a relaxed structure of Th4ZnBi3.

Geometry as extended XYZ:
```
16
Lattice="7.897 0.000 0.000 0.000 9.092 0.000 -2.607 0.000 7.338" Properties=species:S:1:pos:R:3 pbc="T T T"
Th 1.800 1.037 0.001
Th 0.497 8.055 3.670
Th 0.604 3.263 3.569
Th -0.699 5.829 7.238
Th 5.989 3.263 0.100
Th 4.686 5.829 3.768
Th 4.793 1.037 3.668
Th 3.490 8.055 7.337
Zn -0.652 1.130 1.834
Zn -1.955 7.962 5.503
Bi -1.955 3.431 5.503
Bi -0.652 5.661 1.834
Bi 1.993 1.131 5.503
Bi 3.297 3.443 1.834
Bi 1.993 5.648 5.503
Bi 3.297 7.961 1.834
```

Size of the total moment (μB per cell): 0.00
N(E_F) (states/eV/f.u.): 5.043
Final energy (eV per atom): -5.74
SG: P2/c (13)